# ScTi2Tc

A relaxed ScTi2Tc crystal (GGA-PBE, the Alexandria database).

Structure (POSCAR):
```
ScTi2Tc
1.0
0.0000 3.2365 3.2365
3.2365 0.0000 3.2365
3.2365 3.2365 0.0000
Sc Tc Ti
1 1 2
Cartesian
0.0000 0.0000 0.0000
3.2365 3.2365 3.2365
1.6183 1.6183 1.6183
4.8548 4.8548 4.8548
```

- E_form: -95 meV/atom
- Uncorrected energy: -32.9 eV per formula unit